# 1
The following is a PBE calculation of LaZn after structural relaxation, from OQMD via LeMat-Bulk.

Lattice parameters (Å, degrees): 6.3738 6.4530 4.8992 90.00 90.00 90.00
Last column: nearest neighbours and their distance in Å.
Fractional coordinates of all 8 atoms:
La1 0.5465 0.7440 0.0000  7 Zn 3.09-3.35, 2 La 3.41
La2 0.7868 0.2440 0.5000  7 Zn 3.09-3.35, 2 La 3.41
La3 0.2868 0.0060 0.5000  7 Zn 3.09-3.35, 2 La 3.41
La4 0.0465 0.5060 0.0000  7 Zn 3.09-3.35, 2 La 3.41
Zn1 0.4925 0.2609 0.0000  2 Zn 3.02, 7 La 3.09-3.35
Zn2 0.3409 0.4891 0.5000  2 Zn 3.02, 7 La 3.09-3.35
Zn3 0.8409 0.7609 0.5000  2 Zn 3.02, 7 La 3.09-3.35
Zn4 0.9925 0.9891 0.0000  2 Zn 3.02, 7 La 3.09-3.35

The energy of formation from the pure elements comes out at -0.266 eV/atom.


# 2
The following is a PBE calculation of LaZn2 after structural relaxation, from OQMD via LeMat-Bulk.

Lattice parameters (Å, degrees): 14.8526 3.7105 4.5992 90.00 90.00 90.00
Last column: nearest neighbours and their distance in Å.
Fractional coordinates of all 12 atoms:
Zn1 0.3565 0.0000 0.0000  4 Zn 2.58-2.82
Zn2 0.0879 0.0000 0.5000  4 Zn 2.58-2.82
Zn3 0.9668 0.5000 0.5000  4 Zn 2.58-2.82
Zn4 0.4776 0.5000 0.0000  4 Zn 2.58-2.82
Zn5 0.5879 0.5000 0.5000  4 Zn 2.58-2.82
Zn6 0.9776 0.0000 0.0000  4 Zn 2.58-2.82
Zn7 0.4669 0.0000 0.5000  4 Zn 2.58-2.82
Zn8 0.8565 0.5000 0.0000  4 Zn 2.58-2.82
La1 0.6485 0.0000 0.0000  6 Zn 3.09-3.14, 2 La 3.18
La2 0.7959 0.0000 0.5000  6 Zn 3.09-3.14, 2 La 3.18
La3 0.2959 0.5000 0.5000  6 Zn 3.09-3.14, 2 La 3.18
La4 0.1485 0.5000 0.0000  6 Zn 3.09-3.14, 2 La 3.18

The energy of formation from the pure elements comes out at -0.210 eV/atom.


# 3
The following is a PBE calculation of La2Zr3Zn2 after structural relaxation, from OQMD via LeMat-Bulk.

Lattice parameters (Å, degrees): 8.0933 8.0933 8.0933 37.08 37.08 37.08
Last column: nearest neighbours and their distance in Å.
Fractional coordinates of all 7 atoms:
La1 0.1954 0.1954 0.1954  4 Zn 3.12-3.21, 4 Zr 3.28-3.43
La2 0.7583 0.7583 0.7583  6 Zn 3.07-3.18, 1 Zr 3.34
Zn1 0.4751 0.4751 0.4751  2 Zr 3.04-3.06, 6 La 3.18-3.21
Zn2 0.0572 0.0572 0.0572  1 Zr 2.70
Zr1 0.9378 0.9378 0.9378  1 Zn 2.70, 3 Zr 2.97
Zr2 0.3406 0.3406 0.3406  4 Zn 3.04-3.18, 1 La 3.28, 6 Zr 3.30-3.36
Zr3 0.6107 0.6107 0.6107  6 Zr 2.97-3.30, 1 Zn 3.06

The energy of formation from the pure elements comes out at -0.100 eV/atom.


# 4
The following is a PBE calculation of LaZr after structural relaxation, from OQMD via LeMat-Bulk.

Lattice parameters (Å, degrees): 9.3748 6.8314 5.5348 90.00 90.00 100.54
Last column: nearest neighbours and their distance in Å.
Fractional coordinates of all 12 atoms:
Zr1 0.9065 0.2126 0.5000  6 Zr 3.06-3.43, 3 La 3.21-3.38
Zr2 0.9824 0.5096 0.0000  6 Zr 3.06-3.43, 3 La 3.21-3.38
Zr3 0.9999 0.9886 0.0000  8 Zr 3.12-3.36, 3 La 3.32-3.43
Zr4 0.7057 0.6881 0.0000  4 Zr 3.06-3.24, 1 La 3.33
Zr5 0.1831 0.0341 0.5000  4 Zr 3.06-3.24, 1 La 3.33
Zr6 0.8890 0.7336 0.5000  8 Zr 3.12-3.36, 3 La 3.32-3.43
La1 0.3318 0.8436 0.0000  6 La 3.27-3.57, 4 Zr 3.43-3.63
La2 0.5710 0.4038 0.5000  6 La 3.27-3.62, 4 Zr 3.39-3.62
La3 0.1936 0.5494 0.5000  6 Zr 3.21-3.50, 4 La 3.49-3.52
La4 0.3179 0.3184 0.0000  6 La 3.27-3.62, 4 Zr 3.39-3.62
La5 0.6953 0.1728 0.0000  6 Zr 3.21-3.50, 4 La 3.49-3.52
La6 0.5571 0.8787 0.5000  6 La 3.27-3.57, 4 Zr 3.43-3.63

The energy of formation from the pure elements comes out at 0.142 eV/atom.